Record 1
DFT (PBE) results for a relaxed Cd2ReSn crystal.

Computed properties:
- energy relative to the elements (kJ/mol of formula units) = 315.6
- symmetry = I-42d, No. 122

a = 8.2968 Å, b = 8.2968 Å, c = 6.4549 Å
α = 50.01°, β = 50.01°, γ = 90.00°
Last column: magnetic moment on the atom in μB.
Fractional coordinates of all 8 atoms:
Re1 0.0000 0.0000 0.0000  0.89
Re2 0.7500 0.2500 0.5000  0.89
Sn1 0.5000 0.5000 0.0000  -0.03
Sn2 0.2500 0.7500 0.5000  -0.03
Cd1 0.6710 0.1250 0.2500  0.01
Cd2 0.0790 0.6250 0.2500  0.01
Cd3 0.3750 0.3290 0.7500  0.00
Cd4 0.8750 0.9210 0.7500  0.01



Record 2
DFT (PBE) results for a relaxed Na2LiCuSi crystal.

Computed properties:
- ΔE_f (raw) (eV per atom) = 0.632
- symmetry = P4/mmm, No. 123

a = 5.4865 Å, b = 4.8807 Å, c = 5.4865 Å
α = 90.00°, β = 90.00°, γ = 90.00°
Last column: magnetic moment on the atom in μB.
Fractional coordinates of all 5 atoms:
Na1 0.0000 0.0000 0.5000  0.02
Na2 0.5000 0.0000 0.0000  0.01
Si1 0.0000 0.0000 0.0000  0.19
Cu1 0.5000 0.5000 0.5000  0.03
Li1 0.0000 0.5000 0.0000  0.00